(1)
{"formula": "Ir2Cl", "functional": "PBE-GGA", "state": "optimized geometry", "volume_a3_per_atom": 16.03, "magnetic_moment_mub_per_fu": 0.00, "lattice": [[-2.863, 7.534, -2.714], [-1.374, -7.894, 2.850], [0.004, 0.931, 2.582]], "species": ["Ir", "Ir", "Ir", "Ir", "Cl", "Cl"], "frac_coords": [[0.423, 0.577, 0.750], [0.577, 0.423, 0.250], [0.724, 0.276, 0.750], [0.276, 0.724, 0.250], [0.083, 0.917, 0.750], [0.917, 0.083, 0.250]]}



(2)
{"formula": "Ir2Cl", "functional": "PBE-GGA", "state": "optimized geometry", "volume_a3_per_atom": 16.22, "magnetic_moment_mub_per_fu": 0.00, "lattice": [[-0.826, 5.736, 0.066], [-2.487, -0.298, -5.226], [-5.169, -0.773, 2.504]], "species": ["Ir", "Ir", "Ir", "Ir", "Ir", "Ir", "Ir", "Ir", "Cl", "Cl", "Cl", "Cl"], "frac_coords": [[0.636, 0.636, 0.364], [0.364, 0.364, 0.636], [0.136, 0.864, 0.636], [0.864, 0.136, 0.364], [0.364, 0.136, 0.136], [0.636, 0.864, 0.864], [0.864, 0.364, 0.864], [0.136, 0.636, 0.136], [0.000, 0.000, 0.000], [0.500, 0.500, 0.000], [0.500, 0.000, 0.500], [0.000, 0.500, 0.500]]}



(3)
{"formula": "Ir2Cl", "functional": "PBE-GGA", "state": "optimized geometry", "volume_a3_per_atom": 25.40, "magnetic_moment_mub_per_fu": 0.00, "lattice": [[-5.257, -5.887, -4.653], [-2.787, -6.756, -5.526], [-0.676, -5.406, 3.465]], "species": ["Ir", "Ir", "Ir", "Ir", "Cl", "Cl"], "frac_coords": [[0.685, 0.685, 0.079], [0.246, 0.246, 0.342], [0.754, 0.754, 0.658], [0.315, 0.315, 0.921], [0.067, 0.067, 0.190], [0.933, 0.933, 0.810]]}



The most stable of them is (3).



(1)
{"formula": "Ir2Cl", "functional": "PBE-GGA", "state": "optimized geometry", "volume_a3_per_atom": 15.60, "magnetic_moment_mub_per_fu": 0.00, "lattice": [[-0.588, -1.460, -2.474], [-0.764, -1.139, 2.592], [-5.571, 2.883, -0.376]], "species": ["Ir", "Ir", "Cl"], "frac_coords": [[0.667, 0.333, 0.658], [0.333, 0.667, 0.342], [0.000, 0.000, 0.000]]}



(2)
{"formula": "Ir2Cl", "functional": "PBE-GGA", "state": "optimized geometry", "volume_a3_per_atom": 15.55, "magnetic_moment_mub_per_fu": 0.00, "lattice": [[3.808, -6.596, 0.000], [3.808, 6.596, 0.000], [0.000, 0.000, 2.786]], "species": ["Ir", "Ir", "Ir", "Ir", "Ir", "Ir", "Cl", "Cl", "Cl"], "frac_coords": [[0.377, 0.000, 0.000], [0.000, 0.377, 0.000], [0.623, 0.623, 0.000], [0.711, 0.000, 0.500], [0.000, 0.711, 0.500], [0.289, 0.289, 0.500], [0.333, 0.667, 0.000], [0.667, 0.333, 0.000], [0.000, 0.000, 0.500]]}



The most stable of them is (1).



(1)
{"formula": "Ir2Cl", "functional": "PBE-GGA", "state": "optimized geometry", "volume_a3_per_atom": 21.56, "magnetic_moment_mub_per_fu": 0.00, "lattice": [[1.424, 4.320, 0.006], [-1.424, 4.320, 0.006], [0.000, 0.220, 10.515]], "species": ["Ir", "Ir", "Ir", "Ir", "Cl", "Cl"], "frac_coords": [[0.679, 0.679, 0.302], [0.674, 0.674, 0.542], [0.952, 0.952, 0.404], [0.403, 0.403, 0.195], [0.921, 0.921, 0.009], [0.204, 0.204, 0.715]]}



(2)
{"formula": "Ir2Cl", "functional": "PBE-GGA", "state": "optimized geometry", "volume_a3_per_atom": 16.41, "magnetic_moment_mub_per_fu": 0.00, "lattice": [[-1.667, 2.991, 5.191], [-5.012, 2.163, 2.978], [3.142, -4.370, -3.115]], "species": ["Ir", "Ir", "Cl"], "frac_coords": [[0.319, 0.319, 0.000], [0.681, 0.681, 0.000], [0.000, 0.000, 0.000]]}



The most stable of them is (1).



(1)
{"formula": "Ir2Cl", "functional": "PBE-GGA", "state": "optimized geometry", "volume_a3_per_atom": 18.54, "magnetic_moment_mub_per_fu": 0.00, "lattice": [[3.774, 0.000, 0.000], [-1.887, 3.269, 0.000], [0.000, 0.000, 4.509]], "species": ["Ir", "Ir", "Cl"], "frac_coords": [[0.667, 0.333, 0.621], [0.333, 0.667, 0.379], [0.000, 0.000, 0.000]]}



(2)
{"formula": "Ir2Cl", "functional": "PBE-GGA", "state": "optimized geometry", "volume_a3_per_atom": 17.15, "magnetic_moment_mub_per_fu": 0.00, "lattice": [[2.041, -3.213, 4.246], [4.242, 0.661, 3.753], [-4.760, 1.829, -2.552]], "species": ["Ir", "Ir", "Cl"], "frac_coords": [[0.690, 0.190, 0.500], [0.310, 0.810, 0.500], [0.000, 0.000, 0.000]]}



(3)
{"formula": "Ir2Cl", "functional": "PBE-GGA", "state": "optimized geometry", "volume_a3_per_atom": 16.70, "magnetic_moment_mub_per_fu": 0.00, "lattice": [[7.433, 0.149, 10.684], [3.892, 0.345, 12.416], [-5.734, -2.217, -11.473]], "species": ["Ir", "Ir", "Ir", "Ir", "Cl", "Cl"], "frac_coords": [[0.585, 0.585, 0.000], [0.165, 0.665, 0.500], [0.415, 0.415, 0.000], [0.335, 0.835, 0.500], [0.000, 0.000, 0.000], [0.750, 0.250, 0.500]]}



(4)
{"formula": "Ir2Cl", "functional": "PBE-GGA", "state": "optimized geometry", "volume_a3_per_atom": 15.61, "magnetic_moment_mub_per_fu": 0.00, "lattice": [[-4.035, -0.579, 0.111], [2.501, -2.739, 1.697], [-0.306, 3.216, 5.644]], "species": ["Ir", "Ir", "Ir", "Ir", "Cl", "Cl"], "frac_coords": [[0.000, 0.000, 0.000], [0.000, 0.000, 0.500], [0.333, 0.667, 0.750], [0.667, 0.333, 0.250], [0.333, 0.667, 0.250], [0.667, 0.333, 0.750]]}



The most stable of them is (2).



(1)
{"formula": "Ir2Cl", "functional": "PBE-GGA", "state": "optimized geometry", "volume_a3_per_atom": 17.05, "magnetic_moment_mub_per_fu": 0.00, "lattice": [[-2.508, 2.275, 1.828], [-0.003, -3.790, 0.662], [5.248, 1.029, 5.918]], "species": ["Ir", "Ir", "Ir", "Ir", "Cl", "Cl"], "frac_coords": [[0.667, 0.333, 0.425], [0.333, 0.667, 0.925], [0.333, 0.667, 0.575], [0.667, 0.333, 0.075], [0.000, 0.000, 0.250], [0.000, 0.000, 0.750]]}



(2)
{"formula": "Ir2Cl", "functional": "PBE-GGA", "state": "optimized geometry", "volume_a3_per_atom": 21.20, "magnetic_moment_mub_per_fu": 0.00, "lattice": [[-9.755, 0.826, -3.042], [8.517, -1.322, 5.551], [0.086, 4.318, 0.896]], "species": ["Ir", "Ir", "Ir", "Ir", "Cl", "Cl"], "frac_coords": [[0.036, 0.964, 0.750], [0.426, 0.574, 0.750], [0.574, 0.426, 0.250], [0.964, 0.036, 0.250], [0.829, 0.171, 0.750], [0.171, 0.829, 0.250]]}



The most stable of them is (2).



(1)
{"formula": "KIrCl2", "functional": "PBE-GGA", "state": "optimized geometry", "volume_a3_per_atom": 23.79, "magnetic_moment_mub_per_fu": 1.01, "lattice": [[2.943, -1.947, 8.403], [1.979, -5.133, 7.266], [5.155, -3.861, 6.449]], "species": ["K", "Ir", "Cl", "Cl"], "frac_coords": [[0.500, 0.500, 0.500], [0.000, 0.000, 0.000], [0.914, 0.914, 0.914], [0.086, 0.086, 0.086]]}



(2)
{"formula": "KIrCl2", "functional": "PBE-GGA", "state": "optimized geometry", "volume_a3_per_atom": 26.11, "magnetic_moment_mub_per_fu": 0.00, "lattice": [[-1.514, -0.266, -3.297], [4.602, -2.065, -1.946], [-0.641, -5.368, 0.727]], "species": ["K", "Ir", "Cl", "Cl"], "frac_coords": [[0.500, 0.750, 0.750], [0.500, 0.250, 0.250], [0.000, 0.075, 0.073], [0.000, 0.425, 0.427]]}



The most stable of them is (2).